# 1
Density functional theory data (PBE) for a geometry-optimized ZrScV2 structure.

Cell and atoms, written as extended XYZ:
```
4
Lattice="0.000 3.364 3.364 3.364 0.000 3.364 3.364 3.364 0.000" Properties=species:S:1:pos:R:3 pbc="T T T"
Zr 0.000 0.000 0.000
Sc 3.364 3.364 3.364
V 1.682 1.682 1.682
V 5.046 5.046 5.046
```

## Properties
- DFT formation energy: 269 meV per atom
- N(E_F): 1.0650 states/eV/atom
- Total moment: 5.5 μB per formula unit

***

# 2
Density functional theory data (PBE) for a geometry-optimized LaGaCu3 structure.

Cell and atoms, written as extended XYZ:
```
10
Lattice="-2.243 2.243 10.275 2.243 -2.243 10.275 2.243 2.243 -10.275" Properties=species:S:1:pos:R:3 pbc="T T T"
La 0.000 0.000 0.000
La 0.000 2.243 5.137
Ga 0.000 0.000 8.681
Ga 0.000 0.000 11.869
Cu 2.243 0.000 2.796
Cu 2.243 0.000 7.479
Cu 0.000 1.126 2.589
Cu -1.117 2.243 7.685
Cu 1.117 2.243 7.685
Cu 0.000 3.360 2.589
```

## Properties
- DFT formation energy: 16 meV per atom
- N(E_F): 0.5107 states/eV/atom
- Total moment: 0.0 μB per formula unit

***

# 3
Density functional theory data (PBE) for a geometry-optimized Cd2InSnHg4 structure.

Cell and atoms, written as extended XYZ:
```
8
Lattice="0.000 4.298 5.979 4.293 0.000 5.979 4.293 4.298 0.000" Properties=species:S:1:pos:R:3 pbc="T T T"
Cd 0.000 0.000 0.000
Cd 2.146 2.149 2.990
In 4.293 4.298 5.979
Sn 6.439 6.448 8.969
Hg 2.146 2.149 0.011
Hg 4.293 4.298 2.963
Hg 2.146 2.149 5.968
Hg 4.293 4.298 8.995
```

## Properties
- DFT formation energy: 56 meV per atom
- N(E_F): 0.5440 states/eV/atom
- Total moment: 0.0 μB per formula unit

***

# 4
Density functional theory data (PBE) for a geometry-optimized LiTl4Cd structure.

Cell and atoms, written as extended XYZ:
```
6
Lattice="4.082 -5.398 0.000 4.082 5.398 0.000 -0.020 0.000 3.813" Properties=species:S:1:pos:R:3 pbc="T T T"
Li 0.000 0.000 0.000
Tl 2.484 0.074 1.914
Tl 2.517 -2.667 0.009
Tl 5.661 0.074 1.899
Tl 5.628 -2.667 3.804
Cd 4.072 3.067 1.907
```

## Properties
- DFT formation energy: 6 meV per atom
- N(E_F): 0.4235 states/eV/atom
- Total moment: 0.0 μB per formula unit

***

# 5
Density functional theory data (PBE) for a geometry-optimized HfBe2Tc2 structure.

Cell and atoms, written as extended XYZ:
```
5
Lattice="-2.088 2.088 4.054 2.088 -2.088 4.054 2.088 2.088 -4.054" Properties=species:S:1:pos:R:3 pbc="T T T"
Hf 0.000 0.000 0.000
Be 2.088 0.000 2.027
Be 0.000 2.088 2.027
Tc 0.000 0.000 2.856
Tc 0.000 0.000 5.252
```

## Properties
- DFT formation energy: 8 meV per atom
- N(E_F): 0.4950 states/eV/atom
- Total moment: 0.0 μB per formula unit

***

# 6
Density functional theory data (PBE) for a geometry-optimized Li3InHg10 structure.

Cell and atoms, written as extended XYZ:
```
28
Lattice="0.000 6.988 6.988 6.988 0.000 6.988 6.988 6.988 0.000" Properties=species:S:1:pos:R:3 pbc="T T T"
Li 6.988 6.988 3.008
Li 6.988 3.008 6.988
Li 10.968 6.988 6.988
Li 3.008 6.988 6.988
Li 6.988 10.968 6.988
Li 6.988 6.988 10.968
In 3.494 3.494 3.494
In 10.482 10.482 10.482
Hg 1.743 1.743 1.743
Hg 5.245 5.245 1.743
Hg 5.245 1.743 5.245
Hg 6.988 4.680 4.680
Hg 9.296 6.988 4.680
Hg 9.296 4.680 6.988
Hg 12.233 8.731 8.731
Hg 4.680 6.988 4.680
Hg 6.988 9.296 4.680
Hg 4.680 4.680 6.988
Hg 9.296 9.296 6.988
Hg 6.988 4.680 9.296
Hg 9.296 6.988 9.296
Hg 1.743 5.245 5.245
Hg 4.680 9.296 6.988
Hg 4.680 6.988 9.296
Hg 6.988 9.296 9.296
Hg 8.731 12.233 8.731
Hg 8.731 8.731 12.233
Hg 12.233 12.233 12.233
```

## Properties
- DFT formation energy: -113 meV per atom
- N(E_F): 0.3981 states/eV/atom
- Total moment: 0.0 μB per formula unit

***

# 7
Density functional theory data (PBE) for a geometry-optimized DyAg2Sb2 structure.

Cell and atoms, written as extended XYZ:
```
10
Lattice="2.184 -12.213 0.000 2.184 12.213 0.000 0.000 0.000 4.360" Properties=species:S:1:pos:R:3 pbc="T T T"
Dy 2.184 8.522 3.270
Dy 2.184 -8.522 1.090
Ag 2.184 11.227 1.090
Ag 2.184 0.978 1.090
Ag 2.184 -0.978 3.270
Ag 2.184 -11.227 3.270
Sb 2.184 6.108 1.090
Sb 2.184 2.878 3.270
Sb 2.184 -2.878 1.090
Sb 2.184 -6.108 3.270
```

## Properties
- E_form (uncorrected): -468.5 meV/atom
- N(E_F): 0.3126 states/eV/atom
- Total moment: 0.0 μB per formula unit

***

# 8
Density functional theory data (PBE) for a geometry-optimized CePuBr structure.

Cell and atoms, written as extended XYZ:
```
6
Lattice="6.672 -1.737 0.000 6.672 1.737 0.000 -6.327 0.000 6.706" Properties=species:S:1:pos:R:3 pbc="T T T"
Ce 0.809 0.000 1.059
Ce 6.208 0.000 5.647
Pu -3.544 0.000 6.202
Pu 10.562 0.000 0.504
Br 1.760 0.000 4.038
Br 5.257 0.000 2.667
```

## Properties
- E_form (uncorrected): -471.8 meV/atom
- N(E_F): 2.0449 states/eV/atom
- Total moment: 0.0 μB per formula unit

***

# 9
Density functional theory data (PBE) for a geometry-optimized ScC3N structure.

Cell and atoms, written as extended XYZ:
```
5
Lattice="4.355 0.000 0.000 0.000 4.355 0.000 0.000 0.000 4.355" Properties=species:S:1:pos:R:3 pbc="T T T"
Sc 0.000 0.000 0.000
C 0.000 0.000 2.178
C 0.000 2.178 0.000
C 2.178 0.000 0.000
N 2.178 2.178 2.178
```

## Properties
- E_form (uncorrected): 3700.6 meV/atom
- N(E_F): 0.9192 states/eV/atom
- Total moment: 2.1 μB per formula unit

***

# 10
Density functional theory data (PBE) for a geometry-optimized GaTcPbO6 structure.

Cell and atoms, written as extended XYZ:
```
9
Lattice="5.245 0.000 0.000 -2.623 4.542 0.000 0.000 0.000 5.337" Properties=species:S:1:pos:R:3 pbc="T T T"
Ga 0.000 0.000 0.000
Tc 0.000 3.028 4.857
Pb 2.623 1.514 2.112
O -0.620 1.608 0.837
O -1.580 3.273 4.009
O 0.579 1.538 4.009
O -0.920 4.275 0.837
O 1.540 3.201 0.837
O 1.002 4.275 4.009
```

## Properties
- E_form (uncorrected): -1361.0 meV/atom
- Total moment: 0.0 μB per formula unit

***

# 11
Density functional theory data (PBE) for a geometry-optimized TbPrSiI structure.

Cell and atoms, written as extended XYZ:
```
4
Lattice="2.124 1.226 7.761 -2.124 1.226 7.761 0.000 -2.453 7.761" Properties=species:S:1:pos:R:3 pbc="T T T"
Tb 0.000 0.000 0.000
Pr 0.000 0.000 4.718
Si 0.000 0.000 14.105
I 0.000 0.000 10.006
```

## Properties
- E_form (uncorrected): -915.6 meV/atom
- N(E_F): 0.6814 states/eV/atom
- Total moment: 0.0 μB per formula unit

***

# 12
Density functional theory data (PBE) for a geometry-optimized Li2YMg structure.

Cell and atoms, written as extended XYZ:
```
4
Lattice="-1.749 2.672 5.041 1.749 -2.672 5.041 1.749 2.672 -5.041" Properties=species:S:1:pos:R:3 pbc="T T T"
Li 0.000 0.000 0.000
Li 0.000 2.672 2.934
Y 0.000 0.000 5.208
Mg 1.749 0.000 2.364
```

## Properties
- DFT formation energy: 75 meV per atom
- N(E_F): 0.9436 states/eV/atom
- Total moment: 0.0 μB per formula unit

***

How do the records compare in V? In the order shown, they have 76.1 206.8 220.7 168.0 70.7 682.5 232.6 155.4 82.6 127.2 121.3 94.2 Å³/cell.